(1)
Entry from Alexandria: YSiAu after structural relaxation (GGA-PBE).

- Space-group type: P6_3mc (186)

Lattice parameters (Å, degrees): 4.3259 4.3259 7.6588 90.00 90.00 120.00
Last column: nearest neighbours and their distance in Å.
Sites, in units of the cell vectors:
1 Y 0.0000 0.0000 0.0000  6 Si 3.02-3.28, 6 Au 3.08-3.22
2 Y 0.0000 0.0000 0.5000  6 Si 3.02-3.28, 6 Au 3.08-3.22
3 Si 0.3333 0.6667 0.2773  3 Au 2.52
4 Si 0.6667 0.3333 0.7773  3 Au 2.52
5 Au 0.3333 0.6667 0.7344  3 Si 2.52
6 Au 0.6667 0.3333 0.2344  3 Si 2.52

(2)
Entry from Alexandria: Y5Si2Au2 after structural relaxation (GGA-PBE).

- Space-group type: Cmce (64)

Lattice parameters (Å, degrees): 8.6134 8.6134 7.5127 90.00 90.00 51.76
Last column: nearest neighbours and their distance in Å.
Sites, in units of the cell vectors:
1 Y 0.0000 0.0000 0.0000  4 Si 2.99-3.01, 2 Au 3.23
2 Y 0.0448 0.6877 0.6724  3 Au 2.97-3.08, 3 Si 3.01-3.07
3 Y 0.1877 0.5448 0.1724  3 Au 2.97-3.08, 3 Si 3.01-3.07
4 Y 0.3123 0.9552 0.6724  3 Au 2.97-3.08, 3 Si 3.01-3.07
5 Y 0.4552 0.8123 0.1724  3 Au 2.97-3.08, 3 Si 3.01-3.07
6 Y 0.5000 0.5000 0.5000  4 Si 2.99-3.01, 2 Au 3.23
7 Y 0.5448 0.1877 0.8276  3 Au 2.97-3.08, 3 Si 3.01-3.07
8 Y 0.6877 0.0448 0.3276  3 Au 2.97-3.08, 3 Si 3.01-3.07
9 Y 0.8123 0.4552 0.8276  3 Au 2.97-3.08, 3 Si 3.01-3.07
10 Y 0.9552 0.3123 0.3276  3 Au 2.97-3.08, 3 Si 3.01-3.07
11 Si 0.1189 0.8811 0.3794  1 Si 2.55
12 Si 0.3811 0.6189 0.8794  1 Si 2.55
13 Si 0.6189 0.3811 0.1206  1 Si 2.55
14 Si 0.8811 0.1189 0.6206  1 Si 2.55
15 Au 0.2082 0.2082 0.0000  7 Y 2.97-3.23
16 Au 0.2918 0.2918 0.5000  7 Y 2.97-3.23
17 Au 0.7082 0.7082 0.5000  7 Y 2.97-3.23
18 Au 0.7918 0.7918 0.0000  7 Y 2.97-3.23

| no. | formation energy (no corrections) (eV/atom) |
| --- | --- |
| 1 | -0.8272 |
| 2 | -0.7817 |